{
  "formula": "K2SmWO6",
  "functional": "PBE with a Hubbard U",
  "state": "optimized geometry",
  "spacegroup": "No. 225",
  "e_tot_ev_per_atom": -6.631,
  "cell": [[-5.280, 1.654, 2.449], [-4.293, -4.141, 1.015], [-1.349, -1.632, 5.669]],
  "species": ["K", "K", "Sm", "W", "O", "O", "O", "O", "O", "O"],
  "fractional_positions": [[0.566, 0.566, 0.302], [0.066, 0.066, 0.801], [0.816, 0.816, 0.552], [0.316, 0.316, 0.052], [0.544, 0.088, 0.280], [0.088, 0.088, 0.280], [0.088, 0.544, 0.280], [0.544, 0.544, 0.823], [0.544, 0.088, 0.823], [0.088, 0.544, 0.823]]
}